## K2TlGaF6 (PBEsol)

Data for crystalline K2TlGaF6 at its relaxed geometry.

The structure in CIF format:
```
data_K2TlGaF6
_cell_length_a 8.9233
_cell_length_b 8.9233
_cell_length_c 8.9233
_cell_angle_alpha 90.00
_cell_angle_beta 90.00
_cell_angle_gamma 90.00
_symmetry_space_group_name_H-M 'F m -3 m'
_symmetry_Int_Tables_number 225
_symmetry_space_group_name_Hall '-F 4 2 3'
loop_
_atom_site_label
_atom_site_type_symbol
_atom_site_fract_x
_atom_site_fract_y
_atom_site_fract_z
_atom_site_occupancy
K1 K 0.2500 0.2500 0.2500 1
Tl1 Tl 0.0000 0.0000 0.0000 1
Ga1 Ga 0.0000 0.0000 0.5000 1
F1 F 0.0000 0.0000 0.2867 1
```

Formation energy (no corrections): -2458 kJ/mol of formula units
Fermi-level density of states: 0.00 states/eV/atom